Entry 1:
Entry from Alexandria: a relaxed structure of Pm2Ho3Ga4 (PBE).

a b c (Å): 7.5434 7.9594 7.9847
angles (deg): 90.00 90.00 106.72
With the nearest neighbours (Å) after each atom.
Element x y z (fractional)
Pm (0.5744, 0.1910, 0.3182)  6 Ga 3.10-3.43
Pm (0.9256, 0.8090, 0.8182)  6 Ga 3.10-3.43
Pm (0.4256, 0.8090, 0.6818)  6 Ga 3.10-3.43
Pm (0.0744, 0.1910, 0.1818)  6 Ga 3.10-3.43
Ho (0.0000, 0.5000, 0.5000)  6 Ga 3.03-3.21
Ho (0.5000, 0.5000, 0.0000)  6 Ga 3.03-3.21
Ho (0.7511, 0.2404, 0.8250)  6 Ga 2.93-3.07
Ho (0.7489, 0.7596, 0.3250)  6 Ga 2.93-3.07
Ho (0.2489, 0.7596, 0.1750)  6 Ga 2.93-3.07
Ho (0.2511, 0.2404, 0.6750)  6 Ga 2.93-3.07
Ga (0.8668, 0.0806, 0.5300)  1 Ga 2.72, 3 Ho 2.93-3.04
Ga (0.6332, 0.9194, 0.0300)  1 Ga 2.72, 3 Ho 2.93-3.04
Ga (0.1332, 0.9194, 0.4700)  1 Ga 2.72, 3 Ho 2.93-3.04
Ga (0.3668, 0.0806, 0.9700)  1 Ga 2.72, 3 Ho 2.93-3.04
Ga (0.8782, 0.4934, 0.1207)  1 Ga 2.64
Ga (0.6218, 0.5066, 0.6207)  1 Ga 2.64
Ga (0.1218, 0.5066, 0.8793)  1 Ga 2.64
Ga (0.3782, 0.4934, 0.3793)  1 Ga 2.64

Properties
DOS at the Fermi energy = 16.2 states/eV/cell
Polymorph energy (0 for the lowest one) = 0.00 kcal/mol of atoms
Energy of formation from the pure elements = -581 meV per atom

---

Entry 2:
Entry from Alexandria: a relaxed structure of Ba2CeP2N6 (PBE).

a b c (Å): 5.8931 5.8931 7.0236
angles (deg): 65.20 65.20 60.00
With the nearest neighbours (Å) after each atom.
Element x y z (fractional)
Ba (0.7856, 0.7856, 0.6432)  9 N 3.03-3.05
Ba (0.2144, 0.2144, 0.3568)  9 N 3.03-3.05
Ce (0.0000, 0.0000, 0.0000)  6 N 2.35
P (0.4142, 0.4142, 0.7574)  3 N 1.59
P (0.5858, 0.5858, 0.2426)  3 N 1.59
N (0.7408, 0.7408, 0.2442)  1 P 1.59
N (0.2742, 0.7408, 0.2442)  1 P 1.59
N (0.7408, 0.2742, 0.2442)  1 P 1.59
N (0.2592, 0.7258, 0.7558)  1 P 1.59
N (0.7258, 0.2592, 0.7558)  1 P 1.59
N (0.2592, 0.2592, 0.7558)  1 P 1.59

Properties
ΔE_f (raw) = -10.3 eV/f.u.

---

Entry 3:
Entry from Alexandria: a relaxed structure of AcAlIn (PBE).

a b c (Å): 4.6769 6.6513 6.6513
angles (deg): 75.25 69.42 69.42
With the nearest neighbours (Å) after each atom.
Element x y z (fractional)
Ac (0.7513, 0.7487, 0.7487)  6 In 3.55-3.61, 6 Al 3.57-3.63
Ac (0.2487, 0.2513, 0.2513)  6 In 3.55-3.61, 6 Al 3.57-3.63
Al (0.0000, 0.8415, 0.1585)  1 Al 2.57, 2 In 2.70
Al (0.0000, 0.1585, 0.8415)  1 Al 2.57, 2 In 2.70
In (0.5000, 0.6751, 0.3249)  2 Al 2.70, 1 In 2.84
In (0.5000, 0.3249, 0.6751)  2 Al 2.70, 1 In 2.84

Properties
DOS at the Fermi energy = 3.1 states/eV/cell
Polymorph energy (0 for the lowest one) = 0.12 kcal/mol of atoms
Energy of formation from the pure elements = -427 meV per atom

---

Entry 4:
Entry from Alexandria: a relaxed structure of Ba2HfF2 (PBE).

a b c (Å): 4.1233 4.1233 9.2747
angles (deg): 77.16 77.16 90.00
With the nearest neighbours (Å) after each atom.
Element x y z (fractional)
Hf (0.0000, 0.0000, 0.0000)  8 Ba 4.01, 4 Hf 4.12
Ba (0.3440, 0.3440, 0.3119)  4 F 2.64
Ba (0.6560, 0.6560, 0.6881)  4 F 2.64
F (0.7500, 0.2500, 0.5000)  4 Ba 2.64, 4 F 2.92
F (0.2500, 0.7500, 0.5000)  4 Ba 2.64, 4 F 2.92

Properties
ΔE_f (raw) = -8.3 eV/f.u.
DOS at the Fermi energy = 3.8 states/eV/cell
Polymorph energy (0 for the lowest one) = 0.00 kcal/mol of atoms

---

Entry 5:
Entry from Alexandria: a relaxed structure of Cd2SbAu (PBE).

a b c (Å): 3.2695 3.2695 8.4992
angles (deg): 90.00 90.00 90.00
With the nearest neighbours (Å) after each atom.
Element x y z (fractional)
Sb (0.5000, 0.5000, 0.5000)  4 Sb 3.27, 8 Cd 3.34
Au (0.5000, 0.5000, 0.0000)  8 Cd 2.95, 4 Au 3.27
Cd (0.0000, 0.0000, 0.7838)  4 Au 2.95, 4 Cd 3.27
Cd (0.0000, 0.0000, 0.2162)  4 Au 2.95, 4 Cd 3.27

Properties
ΔE_f (raw) = 0.0 eV/f.u.
DOS at the Fermi energy = 1.6 states/eV/cell

---

Entry 6:
Entry from Alexandria: a relaxed structure of Li4BiO4 (PBE).

a b c (Å): 5.4318 5.4318 5.8298
angles (deg): 117.77 117.77 90.00
With the nearest neighbours (Å) after each atom.
Element x y z (fractional)
Li (0.5000, 0.0000, 0.0000)  4 O 2.09
Li (0.0000, 0.5000, 0.0000)  4 O 2.09
Li (0.3577, 0.3577, 0.7154)  2 O 1.92
Li (0.6423, 0.6423, 0.2846)  2 O 1.92
Bi (0.0000, 0.0000, 0.0000)  4 O 2.13
O (0.6508, 0.6508, 0.8148)  3 Li 1.92-2.09, 1 Bi 2.13
O (0.3492, 0.8360, 0.1852)  3 Li 1.92-2.09, 1 Bi 2.13
O (0.1640, 0.1640, 0.8148)  3 Li 1.92-2.09, 1 Bi 2.13
O (0.8360, 0.3492, 0.1852)  3 Li 1.92-2.09, 1 Bi 2.13

Properties
ΔE_f (raw) = -12.0 eV/f.u.
DOS at the Fermi energy = 2.2 states/eV/cell

---

- Number 4 is which compound?
  Ba2HfF2

---

What did the third record say?
Entry from Alexandria: a relaxed structure of AcAlIn (PBE).

a b c (Å): 4.6769 6.6513 6.6513
angles (deg): 75.25 69.42 69.42
With the nearest neighbours (Å) after each atom.
Element x y z (fractional)
Ac (0.7513, 0.7487, 0.7487)  6 In 3.55-3.61, 6 Al 3.57-3.63
Ac (0.2487, 0.2513, 0.2513)  6 In 3.55-3.61, 6 Al 3.57-3.63
Al (0.0000, 0.8415, 0.1585)  1 Al 2.57, 2 In 2.70
Al (0.0000, 0.1585, 0.8415)  1 Al 2.57, 2 In 2.70
In (0.5000, 0.6751, 0.3249)  2 Al 2.70, 1 In 2.84
In (0.5000, 0.3249, 0.6751)  2 Al 2.70, 1 In 2.84

Properties
DOS at the Fermi energy = 3.1 states/eV/cell
Polymorph energy (0 for the lowest one) = 0.12 kcal/mol of atoms
Energy of formation from the pure elements = -427 meV per atom

---

Please write out number 6 again, unchanged.
Entry from Alexandria: a relaxed structure of Li4BiO4 (PBE).

a b c (Å): 5.4318 5.4318 5.8298
angles (deg): 117.77 117.77 90.00
With the nearest neighbours (Å) after each atom.
Element x y z (fractional)
Li (0.5000, 0.0000, 0.0000)  4 O 2.09
Li (0.0000, 0.5000, 0.0000)  4 O 2.09
Li (0.3577, 0.3577, 0.7154)  2 O 1.92
Li (0.6423, 0.6423, 0.2846)  2 O 1.92
Bi (0.0000, 0.0000, 0.0000)  4 O 2.13
O (0.6508, 0.6508, 0.8148)  3 Li 1.92-2.09, 1 Bi 2.13
O (0.3492, 0.8360, 0.1852)  3 Li 1.92-2.09, 1 Bi 2.13
O (0.1640, 0.1640, 0.8148)  3 Li 1.92-2.09, 1 Bi 2.13
O (0.8360, 0.3492, 0.1852)  3 Li 1.92-2.09, 1 Bi 2.13

Properties
ΔE_f (raw) = -12.0 eV/f.u.
DOS at the Fermi energy = 2.2 states/eV/cell